Compound: ScCr2Se
Source: the Alexandria database
Functional: PBE-GGA
Structure: relaxed

a b c (Å): 3.2603 3.2603 6.0397
angles (deg): 90.00 90.00 90.02
Fractional positions:
Cr: 0.0000 0.0000 0.9771
Sc: 0.5000 0.5000 0.2500
Cr: 0.0000 0.0000 0.5229
Se: 0.5000 0.5000 0.7500

As for the calculated total energy: -28.630 eV per formula unit. For the uncorrected formation energy, the calculation gives 0.11 eV/atom. The value obtained for the magnetic moment is 1.134 μB/atom.

=====

Compound: Sc2CrSe
Source: the Alexandria database
Functional: PBE-GGA
Structure: relaxed

a b c (Å): 3.3922 3.3922 6.5201
angles (deg): 90.00 90.00 90.00
Fractional positions:
Se: 0.5000 0.5000 0.2500
Sc: 0.0000 0.0000 0.9985
Cr: 0.5000 0.5000 0.7500
Sc: 0.0000 0.0000 0.5015

As for the calculated total energy: -27.771 eV per formula unit. For the uncorrected formation energy, the calculation gives -0.50 eV/atom. The value obtained for the magnetic moment is 0.535 μB/atom.

=====

Compound: ScCrSe
Source: the Alexandria database
Functional: PBE-GGA
Structure: relaxed

a b c (Å): 3.6119 9.1100 6.4848
angles (deg): 90.00 90.00 90.00
Fractional positions:
Se: 0.7500 0.1620 0.8686
Cr: 0.7500 0.0711 0.2304
Cr: 0.7500 0.4289 0.7304
Se: 0.2500 0.6620 0.3686
Cr: 0.2500 0.5711 0.7304
Sc: 0.7500 0.6566 0.0502
Sc: 0.7500 0.8434 0.5502
Se: 0.2500 0.8380 0.8686
Sc: 0.2500 0.1566 0.5502
Cr: 0.2500 0.9289 0.2304
Se: 0.7500 0.3380 0.3686
Sc: 0.2500 0.3434 0.0502

As for the calculated total energy: -21.345 eV per formula unit. For the uncorrected formation energy, the calculation gives -0.64 eV/atom. The energy above the most stable polymorph in this dataset comes out at 0.009 eV/atom. The value obtained for the magnetic moment is 0.000 μB/atom.

=====

Compound: ScCrSe
Source: the Alexandria database
Functional: PBE-GGA
Structure: relaxed

a b c (Å): 6.8867 3.4310 10.0118
angles (deg): 90.00 120.09 90.00
Fractional positions:
Se: 0.7865 0.5000 0.8271
Se: 0.7865 0.0000 0.3271
Cr: 0.5357 0.0000 0.6121
Sc: 0.8380 0.5000 0.5749
Cr: 0.5357 0.5000 0.1121
Sc: 0.8380 0.0000 0.0749
Cr: 0.4643 0.0000 0.3879
Se: 0.2135 0.5000 0.1729
Cr: 0.4643 0.5000 0.8879
Sc: 0.1620 0.0000 0.9251
Se: 0.2135 0.0000 0.6729
Sc: 0.1620 0.5000 0.4251

As for the calculated total energy: -21.120 eV per formula unit. For the uncorrected formation energy, the calculation gives -0.56 eV/atom. The energy above the most stable polymorph in this dataset comes out at 0.084 eV/atom. The value obtained for the magnetic moment is 0.000 μB/atom.

=====

Compound: ScCr4Se
Source: the Alexandria database
Functional: PBE-GGA
Structure: relaxed

a b c (Å): 4.9254 4.9254 4.9254
angles (deg): 60.00 60.00 60.00
Fractional positions:
Cr: 0.3745 0.3745 0.3745
Cr: 0.8765 0.3745 0.3745
Cr: 0.3745 0.8765 0.3745
Cr: 0.3745 0.3745 0.8765
Sc: 0.7500 0.7500 0.7500
Se: 0.0000 0.0000 0.0000

As for the calculated total energy: -46.566 eV per formula unit. For the uncorrected formation energy, the calculation gives 0.29 eV/atom. The value obtained for the magnetic moment is 0.000 μB/atom.

=====

Compound: ScCr2Se
Source: the Alexandria database
Functional: PBE-GGA
Structure: relaxed

a b c (Å): 3.5163 3.9642 4.9994
angles (deg): 90.00 90.00 90.00
Fractional positions:
Cr: 0.5000 0.5000 0.0000
Cr: 0.0000 0.0000 0.0000
Sc: 0.5000 0.0000 0.5000
Se: 0.0000 0.5000 0.5000

As for the calculated total energy: -29.348 eV per formula unit. For the uncorrected formation energy, the calculation gives -0.07 eV/atom. The value obtained for the magnetic moment is 0.047 μB/atom.